The following is a DFT calculation (PBE) of a relaxed Na2NiH6Pd crystal.

Cell: 5.001 5.001 4.973 Å, 90.00 90.00 120.00°
Element x y z (fractional)
1 Na 0.333 0.667 0.221
2 Na 0.667 0.333 0.779
3 Ni 0.000 0.000 0.000
4 H 0.140 0.281 0.785
5 H 0.140 0.860 0.785
6 H 0.281 0.140 0.215
7 H 0.719 0.860 0.785
8 H 0.860 0.140 0.215
9 H 0.860 0.719 0.215
10 Pd 0.000 0.000 0.500

Output
**E_tot**: -35.57 eV per cell

***

The following is a DFT calculation (PBE) of a relaxed Na2NiHPt crystal.

Cell: 4.222 4.222 3.907 Å, 90.00 90.00 90.00°
Element x y z (fractional)
1 Na 0.000 0.500 0.000
2 Na 0.500 0.000 0.000
3 Ni 0.000 0.000 0.500
4 H 0.000 0.000 0.000
5 Pt 0.500 0.500 0.500

Output
**E_tot**: -16.76 eV per cell

***

The following is a DFT calculation (PBE) of a relaxed Na2PuNi3H12 crystal.

Cell: 5.933 5.933 5.933 Å, 65.76 65.76 65.76°
Element x y z (fractional)
1 Na 0.117 0.117 0.117
2 Na 0.883 0.883 0.883
3 Pu 0.500 0.500 0.500
4 Ni 0.000 0.500 0.500
5 Ni 0.500 0.000 0.500
6 Ni 0.500 0.500 0.000
7 H 0.072 0.631 0.631
8 H 0.232 0.232 0.593
9 H 0.232 0.593 0.232
10 H 0.369 0.369 0.928
11 H 0.369 0.928 0.369
12 H 0.407 0.768 0.768
13 H 0.593 0.232 0.232
14 H 0.631 0.072 0.631
15 H 0.631 0.631 0.072
16 H 0.768 0.407 0.768
17 H 0.768 0.768 0.407
18 H 0.928 0.369 0.369

Output
**E_tot**: -77.06 eV per cell

***

The following is a DFT calculation (PBE) of a relaxed Na2PuNiH8 crystal.

Cell: 4.634 4.634 6.205 Å, 90.00 90.00 120.00°
Element x y z (fractional)
1 Na 0.333 0.667 0.362
2 Na 0.667 0.333 0.638
3 Pu 0.000 0.000 0.000
4 Ni 0.000 0.000 0.500
5 H 0.149 0.298 0.661
6 H 0.149 0.851 0.661
7 H 0.298 0.149 0.339
8 H 0.333 0.667 0.011
9 H 0.667 0.333 0.989
10 H 0.702 0.851 0.661
11 H 0.851 0.149 0.339
12 H 0.851 0.702 0.339

Output
**E_tot**: -51.23 eV per cell

***

The following is a DFT calculation (PBE) of a relaxed Rb2NaNiH4 crystal.

Cell: 12.611 11.213 6.759 Å, 85.32 62.39 32.29°
Element x y z (fractional)
1 Rb 0.045 0.045 0.705
2 Rb 0.295 0.295 0.955
3 Rb 0.705 0.705 0.045
4 Rb 0.955 0.955 0.295
5 Na 0.125 0.125 0.125
6 Na 0.875 0.875 0.875
7 Ni 0.375 0.375 0.375
8 Ni 0.625 0.625 0.625
9 H 0.141 0.512 0.442
10 H 0.405 0.442 0.512
11 H 0.442 0.405 0.141
12 H 0.488 0.859 0.595
13 H 0.512 0.141 0.405
14 H 0.558 0.595 0.859
15 H 0.595 0.558 0.488
16 H 0.859 0.488 0.558

Output
**E_tot**: -45.46 eV per cell

***

The following is a DFT calculation (PBE) of a relaxed Rb2NaNiH6 crystal.

Cell: 5.977 5.977 5.547 Å, 90.00 90.00 120.00°
Element x y z (fractional)
1 Rb 0.333 0.667 0.311
2 Rb 0.667 0.333 0.689
3 Na 0.000 0.000 0.000
4 Ni 0.000 0.000 0.500
5 H 0.126 0.252 0.661
6 H 0.126 0.874 0.661
7 H 0.252 0.126 0.339
8 H 0.748 0.874 0.661
9 H 0.874 0.126 0.339
10 H 0.874 0.748 0.339

Output
**E_tot**: -30.60 eV per cell

***

The following is a DFT calculation (PBE) of a relaxed RbNaNiH6 crystal.

Cell: 5.262 5.265 5.480 Å, 89.99 89.98 60.02°
Element x y z (fractional)
1 Rb 0.000 0.000 0.000
2 Na 0.333 0.334 0.500
3 Ni 0.666 0.667 0.501
4 H 0.437 0.667 0.666
5 H 0.437 0.895 0.335
6 H 0.665 0.896 0.667
7 H 0.668 0.438 0.336
8 H 0.895 0.439 0.667
9 H 0.895 0.669 0.336

Output
**E_tot**: -29.40 eV per cell

***

The following is a DFT calculation (PBE) of a relaxed NaSr3Ni2H8 crystal.

Cell: 5.391 5.391 7.339 Å, 90.00 90.00 120.00°
Element x y z (fractional)
1 Na 0.000 0.000 0.000
2 Sr 0.000 0.000 0.500
3 Sr 0.333 0.667 0.190
4 Sr 0.667 0.333 0.810
5 Ni 0.333 0.667 0.734
6 Ni 0.667 0.333 0.266
7 H 0.169 0.337 0.794
8 H 0.169 0.831 0.794
9 H 0.333 0.667 0.520
10 H 0.337 0.169 0.206
11 H 0.663 0.831 0.794
12 H 0.667 0.333 0.480
13 H 0.831 0.169 0.206
14 H 0.831 0.663 0.206

Output
**E_tot**: -49.69 eV per cell

***

The following is a DFT calculation (PBE) of a relaxed NaSr2Ni3H12 crystal.

Cell: 6.100 6.100 6.100 Å, 61.51 61.51 61.51°
Element x y z (fractional)
1 Na 0.000 0.000 0.000
2 Sr 0.387 0.387 0.387
3 Sr 0.613 0.613 0.613
4 Ni 0.000 0.000 0.500
5 Ni 0.000 0.500 0.000
6 Ni 0.500 0.000 0.000
7 H 0.102 0.711 0.711
8 H 0.118 0.118 0.577
9 H 0.118 0.577 0.118
10 H 0.289 0.289 0.898
11 H 0.289 0.898 0.289
12 H 0.423 0.882 0.882
13 H 0.577 0.118 0.118
14 H 0.711 0.102 0.711
15 H 0.711 0.711 0.102
16 H 0.882 0.423 0.882
17 H 0.882 0.882 0.423
18 H 0.898 0.289 0.289

Output
**E_tot**: -66.42 eV per cell

***

The following is a DFT calculation (PBE) of a relaxed Na2TaNiH crystal.

Cell: 3.740 3.740 6.031 Å, 90.00 90.00 90.00°
Element x y z (fractional)
1 Na 0.000 0.500 0.000
2 Na 0.500 0.000 0.000
3 Ta 0.000 0.000 0.500
4 Ni 0.500 0.500 0.500
5 H 0.500 0.500 0.000

Output
**E_tot**: -19.13 eV per cell

***

The following is a DFT calculation (PBE) of a relaxed NaThNi2H8 crystal.

Cell: 6.945 6.945 6.945 Å, 38.51 38.51 38.51°
Element x y z (fractional)
1 Na 0.000 0.000 0.000
2 Th 0.500 0.500 0.500
3 Ni 0.235 0.235 0.235
4 Ni 0.765 0.765 0.765
5 H 0.087 0.550 0.550
6 H 0.153 0.153 0.153
7 H 0.450 0.450 0.913
8 H 0.450 0.913 0.450
9 H 0.550 0.087 0.550
10 H 0.550 0.550 0.087
11 H 0.847 0.847 0.847
12 H 0.913 0.450 0.450

Output
**E_tot**: -48.16 eV per cell

***

The following is a DFT calculation (PBE) of a relaxed Na2Tl2NiH4 crystal.

Cell: 5.943 5.943 5.943 Å, 117.78 117.78 93.90°
Element x y z (fractional)
1 Na 0.250 0.750 0.500
2 Na 0.750 0.250 0.500
3 Tl 0.180 0.180 0.000
4 Tl 0.820 0.820 0.000
5 Ni 0.500 0.500 0.000
6 H 0.318 0.318 0.635
7 H 0.318 0.682 0.000
8 H 0.682 0.318 0.000
9 H 0.682 0.682 0.365

Output
**E_tot**: -25.15 eV per cell